Here is an optimized crystal structure of LiTbMgAg from the Alexandria database. Energies are from GGA-PBE.

## Properties
SG: F-43m, No. 216
Formation energy (eV per atom): -0.158
Magnetization (μB/cell): 0.00

abc: 4.956 4.956 4.956
angles: 60.00 60.00 60.00
Fractional coordinates of all 4 atoms:
Li 0.000 0.000 0.000
Tb 0.250 0.250 0.250
Mg 0.750 0.750 0.750
Ag 0.500 0.500 0.500